(1)
# RbAg5S3

A relaxed RbAg5S3 crystal (PBE, Alexandria via LeMat-Bulk).

Properties
* crystal system: hexagonal
* formation energy from raw total energies: -302 meV per atom
* theoretical density: 5.443 g/cm³

Structure (CIF):
```
data_RbAg5S3
_cell_length_a 13.6950
_cell_length_b 13.6950
_cell_length_c 8.1256
_cell_angle_alpha 90.00
_cell_angle_beta 90.00
_cell_angle_gamma 120.00
_symmetry_space_group_name_H-M 'P -6 2 c'
_symmetry_Int_Tables_number 190
_symmetry_space_group_name_Hall 'P -6c -2c'
loop_
_atom_site_label
_atom_site_type_symbol
_atom_site_fract_x
_atom_site_fract_y
_atom_site_fract_z
_atom_site_occupancy
Rb1 Rb 0.0000 0.0000 0.0000 1
Rb2 Rb 0.3333 0.6667 0.0004 1
Ag1 Ag 0.0000 0.4801 0.0000 1
Ag2 Ag 0.0005 0.6480 0.2500 1
Ag3 Ag 0.0024 0.3139 0.7500 1
Ag4 Ag 0.1565 0.8234 0.0002 1
S1 S 0.0981 0.8735 0.2500 1
S2 S 0.1086 0.5398 0.2500 1
S3 S 0.2207 0.4412 0.7500 1
```

=====

(2)
# CdBi2SbMo

A relaxed CdBi2SbMo crystal (PBE, Alexandria via LeMat-Bulk).

Properties
* crystal system: tetragonal
* formation energy from raw total energies: 505 meV per atom
* energy above the most stable polymorph in this dataset: 0 meV/atom
* theoretical density: 7.988 g/cm³

Structure (CIF):
```
data_CdBi2SbMo
_cell_length_a 5.4603
_cell_length_b 5.4603
_cell_length_c 5.2157
_cell_angle_alpha 90.00
_cell_angle_beta 90.00
_cell_angle_gamma 90.00
_symmetry_space_group_name_H-M 'P 4/m m m'
_symmetry_Int_Tables_number 123
_symmetry_space_group_name_Hall '-P 4 2'
loop_
_atom_site_label
_atom_site_type_symbol
_atom_site_fract_x
_atom_site_fract_y
_atom_site_fract_z
_atom_site_occupancy
Cd1 Cd 0.0000 0.0000 0.0000 1
Bi1 Bi 0.0000 0.5000 0.5000 1
Sb1 Sb 0.5000 0.5000 0.0000 1
Mo1 Mo 0.5000 0.5000 0.5000 1
```

=====

(3)
# SrTb2O

A relaxed SrTb2O crystal (PBE, Alexandria via LeMat-Bulk).

Properties
* crystal system: trigonal
* formation energy from raw total energies: -1144 meV per atom
* theoretical density: 6.505 g/cm³

Structure (CIF):
```
data_SrTb2O
_cell_length_a 3.6116
_cell_length_b 3.6116
_cell_length_c 28.5734
_cell_angle_alpha 90.00
_cell_angle_beta 90.00
_cell_angle_gamma 120.00
_symmetry_space_group_name_H-M 'R -3 m'
_symmetry_Int_Tables_number 166
_symmetry_space_group_name_Hall '-R 3 2"'
loop_
_atom_site_label
_atom_site_type_symbol
_atom_site_fract_x
_atom_site_fract_y
_atom_site_fract_z
_atom_site_occupancy
Sr1 Sr 0.0000 0.0000 0.0000 1
Tb1 Tb 0.0000 0.0000 0.1218 1
O1 O 0.0000 0.0000 0.5000 1
```

=====

(4)
# TbPr3SmTm

A relaxed TbPr3SmTm crystal (PBE, Alexandria via LeMat-Bulk).

Properties
* formation energy from the elements: 0.02 eV per atom
* crystal system: orthorhombic
* theoretical density: 7.333 g/cm³

Structure (CIF):
```
data_TbPr3SmTm
_cell_length_a 5.1290
_cell_length_b 15.4774
_cell_length_c 10.2802
_cell_angle_alpha 90.00
_cell_angle_beta 90.00
_cell_angle_gamma 90.00
_symmetry_space_group_name_H-M 'C m c m'
_symmetry_Int_Tables_number 63
_symmetry_space_group_name_Hall '-C 2c 2'
loop_
_atom_site_label
_atom_site_type_symbol
_atom_site_fract_x
_atom_site_fract_y
_atom_site_fract_z
_atom_site_occupancy
Tb1 Tb 0.0000 0.0020 0.2500 1
Pr1 Pr 0.0000 0.1657 0.0006 1
Pr2 Pr 0.0000 0.3332 0.2500 1
Sm1 Sm 0.0000 0.5000 0.0000 1
Tm1 Tm 0.0000 0.3350 0.7500 1
```

=====

(5)
# Ti2CrPd

A relaxed Ti2CrPd crystal (PBE, Alexandria via LeMat-Bulk).

Properties
* formation energy from the elements: -0.25 eV per atom
* crystal system: cubic
* energy above the most stable polymorph in this dataset: 114 meV/atom
* theoretical density: 7.178 g/cm³

Structure (CIF):
```
data_Ti2CrPd
_cell_length_a 6.1726
_cell_length_b 6.1726
_cell_length_c 6.1726
_cell_angle_alpha 90.00
_cell_angle_beta 90.00
_cell_angle_gamma 90.00
_symmetry_space_group_name_H-M 'F m -3 m'
_symmetry_Int_Tables_number 225
_symmetry_space_group_name_Hall '-F 4 2 3'
loop_
_atom_site_label
_atom_site_type_symbol
_atom_site_fract_x
_atom_site_fract_y
_atom_site_fract_z
_atom_site_occupancy
Ti1 Ti 0.2500 0.2500 0.2500 1
Cr1 Cr 0.0000 0.0000 0.0000 1
Pd1 Pd 0.0000 0.0000 0.5000 1
```

=====

(6)
# Ac2La4Nd

A relaxed Ac2La4Nd crystal (PBE, Alexandria via LeMat-Bulk).

Properties
* formation energy from the elements: 0.02 eV per atom
* crystal system: triclinic
* energy above the most stable polymorph in this dataset: 0 meV/atom
* theoretical density: 7.062 g/cm³

Structure (CIF):
```
data_Ac2La4Nd
_cell_length_a 7.6045
_cell_length_b 8.4475
_cell_length_c 9.3162
_cell_angle_alpha 69.05
_cell_angle_beta 89.82
_cell_angle_gamma 77.00
_symmetry_space_group_name_H-M 'P -1'
_symmetry_Int_Tables_number 2
_symmetry_space_group_name_Hall '-P 1'
loop_
_atom_site_label
_atom_site_type_symbol
_atom_site_fract_x
_atom_site_fract_y
_atom_site_fract_z
_atom_site_occupancy
Ac1 Ac 0.0000 0.0000 0.0000 1
Ac2 Ac 0.0728 0.7166 0.4307 1
Ac3 Ac 0.5000 0.0000 0.0000 1
La1 La 0.1437 0.4337 0.8587 1
La2 La 0.2926 0.8543 0.7131 1
La3 La 0.3623 0.5642 0.1453 1
La4 La 0.4295 0.2844 0.5731 1
Nd1 Nd 0.2172 0.1471 0.2858 1
```

=====

(7)
# Pr2Al4GePd3

A relaxed Pr2Al4GePd3 crystal (PBE, Alexandria via LeMat-Bulk).

Properties
* formation energy from the elements: -0.78 eV per atom
* crystal system: tetragonal
* theoretical density: 6.573 g/cm³

Structure (CIF):
```
data_Pr2Al4GePd3
_cell_length_a 4.3887
_cell_length_b 4.3887
_cell_length_c 10.2527
_cell_angle_alpha 90.00
_cell_angle_beta 90.00
_cell_angle_gamma 90.00
_symmetry_space_group_name_H-M 'P -4 m 2'
_symmetry_Int_Tables_number 115
_symmetry_space_group_name_Hall 'P -4 -2'
loop_
_atom_site_label
_atom_site_type_symbol
_atom_site_fract_x
_atom_site_fract_y
_atom_site_fract_z
_atom_site_occupancy
Pr1 Pr 0.0000 0.5000 0.2484 1
Al1 Al 0.0000 0.0000 0.5000 1
Al2 Al 0.0000 0.5000 0.8631 1
Al3 Al 0.5000 0.5000 0.5000 1
Ge1 Ge 0.5000 0.5000 0.0000 1
Pd1 Pd 0.0000 0.0000 0.0000 1
Pd2 Pd 0.0000 0.5000 0.6244 1
```

=====

(8)
# Nb2IrRhC

A relaxed Nb2IrRhC crystal (PBE, Alexandria via LeMat-Bulk).

Properties
* formation energy from the elements: -0.24 eV per atom
* crystal system: tetragonal
* theoretical density: 11.232 g/cm³

Structure (CIF):
```
data_Nb2IrRhC
_cell_length_a 4.2573
_cell_length_b 4.2573
_cell_length_c 4.0209
_cell_angle_alpha 90.00
_cell_angle_beta 90.00
_cell_angle_gamma 90.00
_symmetry_space_group_name_H-M 'P 4/m m m'
_symmetry_Int_Tables_number 123
_symmetry_space_group_name_Hall '-P 4 2'
loop_
_atom_site_label
_atom_site_type_symbol
_atom_site_fract_x
_atom_site_fract_y
_atom_site_fract_z
_atom_site_occupancy
Nb1 Nb 0.0000 0.5000 0.0000 1
Ir1 Ir 0.0000 0.0000 0.5000 1
Rh1 Rh 0.5000 0.5000 0.5000 1
C1 C 0.5000 0.5000 0.0000 1
```

=====

(9)
# La6P2RhS3

A relaxed La6P2RhS3 crystal (PBE, Alexandria via LeMat-Bulk).

Properties
* crystal system: monoclinic
* formation energy from raw total energies: -1727 meV per atom
* theoretical density: 5.713 g/cm³

Structure (CIF):
```
data_La6P2RhS3
_cell_length_a 18.3293
_cell_length_b 4.1945
_cell_length_c 8.5030
_cell_angle_alpha 90.00
_cell_angle_beta 103.27
_cell_angle_gamma 90.00
_symmetry_space_group_name_H-M 'C 1 2/m 1'
_symmetry_Int_Tables_number 12
_symmetry_space_group_name_Hall '-C 2y'
loop_
_atom_site_label
_atom_site_type_symbol
_atom_site_fract_x
_atom_site_fract_y
_atom_site_fract_z
_atom_site_occupancy
La1 La 0.0009 0.0000 0.2472 1
La2 La 0.1634 0.5000 0.0867 1
La3 La 0.1687 0.5000 0.5815 1
P1 P 0.1660 0.0000 0.3348 1
Rh1 Rh 0.0000 0.5000 0.0000 1
S1 S 0.0000 0.5000 0.5000 1
S2 S 0.1686 0.0000 0.8338 1
```

=====

(10)
# ZrCl

A relaxed ZrCl crystal (PBE, Alexandria via LeMat-Bulk).

Properties
* crystal system: monoclinic
* formation energy from raw total energies: -900 meV per atom
* theoretical density: 4.644 g/cm³

Structure (CIF):
```
data_ZrCl
_cell_length_a 11.9446
_cell_length_b 3.2276
_cell_length_c 7.6690
_cell_angle_alpha 90.00
_cell_angle_beta 113.19
_cell_angle_gamma 90.00
_symmetry_space_group_name_H-M 'C 1 m 1'
_symmetry_Int_Tables_number 8
_symmetry_space_group_name_Hall 'C -2y'
loop_
_atom_site_label
_atom_site_type_symbol
_atom_site_fract_x
_atom_site_fract_y
_atom_site_fract_z
_atom_site_occupancy
Zr1 Zr 0.0000 0.0000 0.0000 1
Zr2 Zr 0.0607 0.5000 0.6695 1
Zr3 Zr 0.3043 0.0000 0.6941 1
Cl1 Cl 0.0588 0.5000 0.2977 1
Cl2 Cl 0.2011 0.0000 0.9441 1
Cl3 Cl 0.3678 0.5000 0.4539 1
```

=====

(11)
# NaScSnO4

A relaxed NaScSnO4 crystal (PBE, Alexandria via LeMat-Bulk).

Properties
* crystal system: orthorhombic
* formation energy from raw total energies: -2353 meV per atom
* theoretical density: 4.806 g/cm³

Structure (CIF):
```
data_NaScSnO4
_cell_length_a 3.1770
_cell_length_b 11.3273
_cell_length_c 9.6262
_cell_angle_alpha 90.00
_cell_angle_beta 90.00
_cell_angle_gamma 90.00
_symmetry_space_group_name_H-M 'P m c 21'
_symmetry_Int_Tables_number 26
_symmetry_space_group_name_Hall 'P 2c -2'
loop_
_atom_site_label
_atom_site_type_symbol
_atom_site_fract_x
_atom_site_fract_y
_atom_site_fract_z
_atom_site_occupancy
Na1 Na 0.0000 0.1032 0.0000 1
Na2 Na 0.5000 0.3921 0.5133 1
Sc1 Sc 0.5000 0.1459 0.6817 1
Sc2 Sc 0.5000 0.3629 0.1909 1
Sn1 Sn 0.0000 0.1349 0.3219 1
Sn2 Sn 0.0000 0.3576 0.8455 1
O1 O 0.0000 0.0381 0.7493 1
O2 O 0.0000 0.2702 0.6515 1
O3 O 0.0000 0.3185 0.3322 1
O4 O 0.0000 0.4085 0.0536 1
O5 O 0.5000 0.0996 0.4645 1
O6 O 0.5000 0.1699 0.1806 1
O7 O 0.5000 0.2373 0.8837 1
O8 O 0.5000 0.4694 0.7894 1
```

=====

(12)
# Rb2ZrCCl6

A relaxed Rb2ZrCCl6 crystal (PBE, Alexandria via LeMat-Bulk).

Properties
* crystal system: tetragonal
* formation energy from raw total energies: -976 meV per atom
* theoretical density: 2.694 g/cm³

Structure (CIF):
```
data_Rb2ZrCCl6
_cell_length_a 8.1238
_cell_length_b 8.1238
_cell_length_c 9.0939
_cell_angle_alpha 90.00
_cell_angle_beta 90.00
_cell_angle_gamma 90.00
_symmetry_space_group_name_H-M 'I 4/m m m'
_symmetry_Int_Tables_number 139
_symmetry_space_group_name_Hall '-I 4 2'
loop_
_atom_site_label
_atom_site_type_symbol
_atom_site_fract_x
_atom_site_fract_y
_atom_site_fract_z
_atom_site_occupancy
Rb1 Rb 0.0000 0.5000 0.2500 1
Zr1 Zr 0.0000 0.0000 0.0000 1
C1 C 0.0000 0.0000 0.5000 1
Cl1 Cl 0.0000 0.0000 0.2654 1
Cl2 Cl 0.2190 0.2190 0.0000 1
```